Compound: TbAlHgTe3
Source: the Open Quantum Materials Database
Functional: PBE-GGA
Structure: relaxed

abc: 8.8344 8.8344 11.8110
angles: 90.00 90.00 152.07
Positions (direct):
Al1 0.0445 0.9555 0.2500
Al2 0.9555 0.0445 0.7500
Hg1 0.7614 0.2386 0.2500
Hg2 0.2386 0.7614 0.7500
Tb1 0.5000 0.5000 0.0000
Tb2 0.5000 0.5000 0.5000
Te1 0.1238 0.8762 0.0615
Te2 0.4407 0.5593 0.2500
Te3 0.1238 0.8762 0.4385
Te4 0.8762 0.1238 0.5615
Te5 0.5593 0.4407 0.7500
Te6 0.8762 0.1238 0.9385

Energy = -45.223 eV for the cell shown
Magnetization = 0.0 μB/f.u.
Symmetry = No. 63

=====

Compound: Al2TcHg
Source: the Open Quantum Materials Database
Functional: PBE-GGA
Structure: relaxed

abc: 4.5485 4.5485 4.5485
angles: 60.00 60.00 60.00
Positions (direct):
Al1 0.5000 0.5000 0.5000
Al2 0.7500 0.7500 0.7500
Hg1 0.2500 0.2500 0.2500
Tc1 0.0000 0.0000 0.0000

Energy = -16.620 eV for the cell shown
Magnetization = 0.0 μB/f.u.
Symmetry = No. 216

=====

Compound: AlHgTe
Source: the Open Quantum Materials Database
Functional: PBE-GGA
Structure: relaxed

abc: 5.0939 5.0939 5.0939
angles: 60.00 60.00 60.00
Positions (direct):
Al1 0.2500 0.2500 0.2500
Hg1 0.7500 0.7500 0.7500
Te1 0.0000 0.0000 0.0000

Energy above the lowest structure with this stoichiometry = 0 meV per atom
Symmetry = No. 216